i.
{"formula": "CeSeBr2", "functional": "PBE-GGA", "state": "optimized geometry", "mass_density_g_cm3": 4.94, "volume_a3_per_cell": 255, "lattice_angstrom": [[2.018, -6.831, 0.000], [2.018, 6.831, 0.000], [0.000, 0.000, 9.237]], "species": ["Ce", "Ce", "Se", "Se", "Br", "Br", "Br", "Br"], "frac_coords": [[0.237, 0.763, 0.750], [0.763, 0.237, 0.250], [0.399, 0.601, 0.250], [0.601, 0.399, 0.750], [0.150, 0.850, 0.067], [0.150, 0.850, 0.433], [0.850, 0.150, 0.567], [0.850, 0.150, 0.933]]}

ii.
{"formula": "CeSeBr2", "functional": "PBE-GGA", "state": "optimized geometry", "mass_density_g_cm3": 4.36, "volume_a3_per_cell": 144, "lattice_angstrom": [[5.146, -1.966, 0.000], [5.146, 1.966, 0.000], [-2.874, 0.000, 7.138]], "species": ["Ce", "Se", "Br", "Br"], "frac_coords": [[0.000, 0.000, 0.000], [0.700, 0.700, 0.000], [0.346, 0.346, 0.716], [0.505, 0.505, 0.284]]}

Which structure is most stable? i, by 27 meV/atom over the runner-up.

i.
{"formula": "Ce2SiBr", "functional": "PBE-GGA", "state": "optimized geometry", "mass_density_g_cm3": 5.94, "volume_a3_per_cell": 108, "lattice_angstrom": [[2.129, 1.229, 6.905], [-2.129, 1.229, 6.905], [0.000, -2.459, 6.905]], "species": ["Ce", "Ce", "Si", "Br"], "frac_coords": [[0.242, 0.242, 0.242], [0.758, 0.758, 0.758], [0.500, 0.500, 0.500], [0.000, 0.000, 0.000]]}

ii.
{"formula": "Ce2SiBr", "functional": "PBE-GGA", "state": "optimized geometry", "mass_density_g_cm3": 5.77, "volume_a3_per_cell": 112, "lattice_angstrom": [[2.060, 1.189, 7.605], [-2.060, 1.189, 7.605], [0.000, -2.378, 7.605]], "species": ["Ce", "Ce", "Si", "Br"], "frac_coords": [[0.000, 0.000, 0.000], [0.191, 0.191, 0.191], [0.594, 0.594, 0.594], [0.765, 0.765, 0.765]]}

Which structure is most stable? i, by 48 meV/atom over the runner-up.